The following is a DFT calculation (PBE) of a geometry-optimized LuCuPdPb structure.

Results
- SG: F-43m

Lattice parameters (Å, degrees): 4.777 4.777 4.777 60.00 60.00 60.00
Fractional positions:
Lu  0.000  0.000  0.000
Pd  0.250  0.250  0.250
Pb  0.500  0.500  0.500
Cu  0.750  0.750  0.750

The following is a DFT calculation (PBE) of a geometry-optimized PmScAsO structure.

Results
- SG: P4/nmm

Lattice parameters (Å, degrees): 4.223 4.223 8.821 90.00 90.00 90.00
Fractional positions:
As  0.750  0.750  0.271
Sc  0.250  0.250  0.074
Pm  0.250  0.750  0.500
O  0.250  0.750  0.000
Pm  0.750  0.250  0.500
Sc  0.750  0.750  0.926
O  0.750  0.250  0.000
As  0.250  0.250  0.729

The following is a DFT calculation (PBE) of a geometry-optimized HoGeH2O4 structure.

Results
- SG: P2_1/m

Lattice parameters (Å, degrees): 6.807 6.183 4.950 90.00 121.49 90.00
Fractional positions:
Ge  0.708  0.250  0.407
O  0.522  0.250  0.557
O  0.935  0.475  0.683
H  0.481  0.250  0.816
Ho  0.826  0.750  0.876
O  0.433  0.250  0.984
O  0.935  0.025  0.683
H  0.000  0.000  0.500
O  0.065  0.525  0.317
Ge  0.292  0.750  0.593
H  0.000  0.500  0.500
H  0.519  0.750  0.184
O  0.478  0.750  0.443
O  0.567  0.750  0.016
Ho  0.174  0.250  0.124
O  0.065  0.975  0.317

The following is a DFT calculation (PBE) of a geometry-optimized BPPdO structure.

Results
- SG: P4/nmm

Lattice parameters (Å, degrees): 4.316 4.316 4.846 90.00 90.00 90.00
Fractional positions:
Pd  0.000  0.500  0.003
Pd  0.500  0.000  0.997
O  0.000  0.000  0.000
B  0.000  0.000  0.500
O  0.500  0.500  0.000
P  0.500  0.000  0.497
B  0.500  0.500  0.500
P  0.000  0.500  0.503

The following is a DFT calculation (PBE) of a geometry-optimized HfBeNiBi structure.

Results
- SG: F-43m

Lattice parameters (Å, degrees): 4.635 4.635 4.635 60.00 60.00 60.00
Fractional positions:
Be  0.500  0.500  0.500
Hf  0.250  0.250  0.250
Ni  0.750  0.750  0.750
Bi  0.000  0.000  0.000

The following is a DFT calculation (PBE) of a geometry-optimized Hf2Hg2Pb structure.

Results
- SG: I4/mmm

Lattice parameters (Å, degrees): 4.452 4.452 7.193 108.03 108.03 90.00
Fractional positions:
Hf  0.750  0.250  0.500
Hg  0.395  0.395  0.789
Pb  0.000  0.000  0.000
Hg  0.605  0.605  0.211
Hf  0.250  0.750  0.500

| no. | total energy (eV/atom) | mass density (g cm⁻³) |
| --- | --- | --- |
| 1 | -4.723 | 11.89 |
| 2 | -6.724 | 5.93 |
| 3 | -6.236 | 5.68 |
| 4 | -5.235 | 6.04 |
| 5 | -5.387 | 10.73 |
| 6 | -4.530 | 12.50 |